1.
Compound: ReSnTeN2
Source: Alexandria
Functional: GGA-PBEsol
Structure: optimized geometry

Formation energy without anion corrections in meV/atom: 556
Uncorrected energy in eV per formula unit: -35.4

```
5
Lattice="3.9861 0.0000 0.0000 0.0000 3.9861 0.0000 0.0000 0.0000 5.5088" Properties=species:S:1:pos:R:3 pbc="T T T"
Re 0.0000 0.0000 0.0000
Te 0.0000 0.0000 2.7544
Sn 1.9931 1.9931 2.7544
N 0.0000 1.9931 0.0000
N 1.9931 0.0000 0.0000
```

---

2.
Compound: LuScCu2
Source: Alexandria
Functional: GGA-PBEsol
Structure: optimized geometry

DFT formation energy in eV per atom: -0.27
Uncorrected energy in eV per formula unit: -21.2

```
4
Lattice="4.6245 0.0000 0.0000 2.3123 4.0049 0.0000 2.3123 1.3350 3.7759" Properties=species:S:1:pos:R:3 pbc="T T T"
Sc 0.0000 0.0000 0.0000
Lu 4.6245 2.6700 1.8879
Cu 6.9368 4.0049 2.8319
Cu 2.3123 1.3350 0.9440
```

---

3.
Compound: BaSc2Pb
Source: Alexandria
Functional: GGA-PBEsol
Structure: optimized geometry

DFT formation energy in eV per atom: -0.03
Uncorrected energy in eV per formula unit: -19.5

```
4
Lattice="-3.2390 0.2995 -1.0546 -0.0915 -0.1156 5.7922 0.9102 6.0521 -1.0769" Properties=species:S:1:pos:R:3 pbc="T T T"
Ba 0.4551 3.0260 -0.5384
Pb -1.6195 0.1498 -0.5273
Sc -1.8326 4.9779 1.4986
Sc -0.5877 1.2580 2.1622
```

---

4.
Compound: Li4V3Cr2Fe3O16
Source: Alexandria
Functional: GGA-PBEsol
Structure: optimized geometry

Formation energy without anion corrections in meV/atom: -1975
Uncorrected energy in eV per formula unit: -223.4

```
28
Lattice="5.5801 -0.0030 0.0066 -2.7876 4.7517 0.0208 -0.0113 -0.1057 9.4604" Properties=species:S:1:pos:R:3 pbc="T T T"
Li 2.7897 1.5553 1.0291
Li 0.0000 0.0128 0.0573
Li -0.0057 0.0024 4.7970
Li -0.0052 3.0944 5.8151
V 1.3038 3.8435 2.7421
V 2.7828 2.9006 7.4592
V -1.3062 3.8449 2.7390
Cr 2.7851 1.4940 4.8607
Cr 0.0017 3.1855 0.0722
Fe 4.0980 0.7667 7.4574
Fe 1.4654 0.7681 7.4543
Fe -0.0023 1.7350 2.7338
O 4.1833 0.7489 3.7254
O 2.7827 0.1052 6.2724
O 2.7807 1.4665 8.6267
O -0.0078 -0.0607 6.5890
O -0.0021 0.0314 1.8594
O 1.3889 0.7504 3.7221
O 4.0271 2.2220 6.2144
O 1.5408 2.2234 6.2115
O -0.0092 1.4631 8.4611
O 2.7873 3.0796 3.7410
O 1.2462 2.4543 1.4727
O -1.2470 2.4556 1.4697
O -0.0030 3.1766 3.9479
O 1.3959 3.8421 8.4647
O 0.0007 4.5548 1.5130
O -1.4118 3.8436 8.4613
```

---

Number 1: calculated volume 87.5 Å³ per cell. Number 2: calculated volume 69.9 Å³ per cell. Number 3: calculated volume 115.2 Å³ per cell. Number 4: calculated volume 250.8 Å³ per cell.